# PrSm3Cl, optimized geometry, DFT GGA-PBE
data_PrSm3Cl
_chemical_formula_sum 'Pr1 Sm3 Cl1'
_cell_length_a 5.439
_cell_length_b 5.439
_cell_length_c 5.439
_cell_angle_alpha 90.00
_cell_angle_beta 90.00
_cell_angle_gamma 90.00
_symmetry_space_group_name_H-M 'P m -3 m'
_symmetry_Int_Tables_number 221
_symmetry_space_group_name_Hall '-P 4 2 3'
loop_
_atom_site_label
_atom_site_fract_x
_atom_site_fract_y
_atom_site_fract_z
Pr1 0.000 0.000 0.000
Sm1 0.000 0.500 0.500
Cl1 0.500 0.500 0.500
# Energy, eV/atom: -4.66
# ΔE_f (raw), eV per formula unit: -2.50